Record 1
Entry from Alexandria via LeMat-Bulk: a geometry-optimized ErZrScIn structure (PBE).

As for the volume: 24.6 Å³/atom. The formation energy comes out at -91 meV/atom. The density of states at the Fermi level is 2.94 states/eV/f.u.

The space group is F-43m (No. 216) and the conventional cell measures 7.331, 7.331 and 7.331 Å, with angles of 90.00, 90.00 and 90.00 degrees. The inequivalent atoms are Er at (0.000, 0.000, 0.000), Zr at (0.250, 0.250, 0.750), Sc at (0.000, 0.000, 0.500) and In at (0.250, 0.250, 0.250).

Record 2
Entry from Alexandria via LeMat-Bulk: a geometry-optimized ErInSe3 structure (PBE).

As for the volume: 27.9 Å³/atom. The value obtained for the formation energy without anion corrections is -1.108 eV per atom.

The space group is P2_1/c (No. 14) and the conventional cell measures 7.338, 7.268 and 11.386 Å, with angles of 90.00, 113.22 and 90.00 degrees. The inequivalent atoms are Er at (0.008, 0.113, 0.185), In at (0.374, 0.605, 0.122), Se at (0.021, 0.728, 0.569), Se at (0.291, 0.618, 0.877) and Se at (0.331, 0.128, 0.788).

Record 3
Entry from Alexandria via LeMat-Bulk: a geometry-optimized Er2InSe structure (PBE).

As for the volume: 25.4 Å³/atom. The value obtained for the formation energy without anion corrections is -1.066 eV per atom. The density of states at the Fermi level is 1.63 states/eV/f.u.

The space group is Cmcm (No. 63) and the conventional cell measures 4.292, 22.750 and 4.167 Å, with angles of 90.00, 90.00 and 90.00 degrees. The inequivalent atoms are Er at (0.000, 0.070, 0.250), Er at (0.000, 0.318, 0.250), In at (0.000, 0.455, 0.250) and Se at (0.000, 0.193, 0.250).